A PBEsol-optimized structure of BeCo2Cl. Source: Alexandria via LeMat-Bulk, functional meta-GGA SCAN.

Structure (CIF):
```
data_BeCo2Cl
_chemical_formula_sum 'Be1 Co2 Cl1'
_cell_length_a 2.872
_cell_length_b 2.872
_cell_length_c 5.619
_cell_angle_alpha 90.00
_cell_angle_beta 90.00
_cell_angle_gamma 90.00
_symmetry_space_group_name_H-M 'P 4 m m'
_symmetry_Int_Tables_number 99
_symmetry_space_group_name_Hall 'P 4 -2'
loop_
_atom_site_label
_atom_site_type_symbol
_atom_site_fract_x
_atom_site_fract_y
_atom_site_fract_z
_atom_site_occupancy
Be1 Be 0.000 0.000 0.000 1
Co1 Co 0.000 0.000 0.600 1
Co2 Co 0.500 0.500 0.842 1
Cl1 Cl 0.500 0.500 0.268 1
```

Computed properties:
As for the crystal system: tetragonal. Its formation energy without anion corrections is 0.239 eV/atom. The density of states at the Fermi level is 1.5 states/eV/cell. For the total magnetic moment, the calculation gives 0.81 μB/atom. The calculation puts the total energy at -0.84491 Ry/atom. The calculation puts the volume at 11.6 A^3/atom.